{"formula": "CsCo2BiBr", "functional": "GGA-PBE", "state": "optimized geometry", "lattice": [[4.976, 0.000, 0.000], [0.000, 4.976, 0.000], [0.000, 0.000, 6.226]], "species": ["Cs", "Co", "Co", "Bi", "Br"], "frac_coords": [[0.000, 0.000, 0.000], [0.000, 0.500, 0.000], [0.500, 0.000, 0.000], [0.500, 0.500, 0.500], [0.000, 0.000, 0.500]], "space_group": "P4/mmm", "total_energy_ev_per_atom": -2.444, "volume_a3_per_atom": 30.8}